# Na2Sn4PdAu3

A geometry-optimized Na2Sn4PdAu3 structure (PBE, Alexandria).

Cell and atoms, written as POSCAR:
```
Na2Sn4PdAu3
1.0
-0.5484 4.7369 -0.1447
-4.6023 -0.4975 1.1537
2.6157 0.6298 10.7066
Na Sn Au Pd
2 4 3 1
direct
0.5000 0.0000 0.2701
0.0000 0.5000 0.7299
0.5000 0.0000 0.6174
0.5000 0.5000 0.0000
0.0000 0.5000 0.3826
0.0000 0.0000 0.0000
0.0000 0.0000 0.5000
0.0000 0.5000 0.1384
0.5000 0.0000 0.8616
0.5000 0.5000 0.5000
```

The total energy comes out at -3.65 eV per atom.